(1)
Below is crystalline La4PmPr4 at its relaxed geometry, with properties calculated at the GGA-PBE level.

Results
Theoretical density (g/cm³): 6.1
Energy relative to the lowest polymorph listed for this composition (meV/atom): 155
Total energy (eV per cell): -42.06

```
La4PmPr4
1.0
5.173 0.000 1.223
1.633 10.592 4.645
0.799 4.327 8.173
La Pm Pr
4 1 4
direct
0.298 0.125 0.279
0.702 0.875 0.721
0.916 0.356 0.813
0.084 0.644 0.187
0.500 0.000 0.000
0.694 0.377 0.235
0.893 0.880 0.334
0.306 0.623 0.765
0.107 0.120 0.666
```

(2)
Below is crystalline LiLaSi2 at its relaxed geometry, with properties calculated at the GGA-PBE level.

Results
Theoretical density (g/cm³): 4.1
Energy relative to the lowest polymorph listed for this composition (meV/atom): 513
Total energy (eV per cell): -18.13
E_form (uncorrected) (eV/atom): -0.111

```
LiLaSi2
1.0
5.291 -0.038 0.000
1.692 5.014 0.000
-3.492 -2.488 3.102
La Li Si
1 1 2
direct
0.500 0.500 0.000
0.750 0.250 0.500
0.000 0.000 0.000
0.250 0.750 0.500
```

(3)
Below is crystalline BeInS2 at its relaxed geometry, with properties calculated at the GGA-PBE level.

Results
Theoretical density (g/cm³): 3.1
Energy relative to the lowest polymorph listed for this composition (meV/atom): 217
Total energy (eV per cell): -16.02
E_form (uncorrected) (eV/atom): -0.325

```
BeInS2
1.0
2.428 0.000 6.598
-1.214 2.103 6.598
-1.214 -2.103 6.598
Be S In
1 2 1
direct
0.000 0.000 0.000
0.905 0.905 0.905
0.095 0.095 0.095
0.500 0.500 0.500
```

(4)
Below is crystalline BaAcHg4 at its relaxed geometry, with properties calculated at the GGA-PBE level.

Results
Theoretical density (g/cm³): 10.8
Energy relative to the lowest polymorph listed for this composition (meV/atom): 164
Total energy (eV per cell): -9.18

```
BaAcHg4
1.0
6.335 0.000 0.000
3.168 5.486 0.000
3.168 1.829 5.173
Ac Hg Ba
1 4 1
direct
0.250 0.250 0.250
0.625 0.625 0.125
0.625 0.125 0.625
0.625 0.625 0.625
0.125 0.625 0.625
0.000 0.000 0.000
```

(5)
Below is crystalline Sc3MnBe at its relaxed geometry, with properties calculated at the GGA-PBE level.

Results
Theoretical density (g/cm³): 3.2
Energy relative to the lowest polymorph listed for this composition (meV/atom): 283
Total energy (eV per cell): -27.82

```
Sc3MnBe
1.0
4.684 0.000 0.000
0.000 4.684 0.000
0.000 0.000 4.684
Sc Be Mn
3 1 1
direct
0.000 0.500 0.000
0.000 0.000 0.500
0.500 0.000 0.000
0.000 0.000 0.000
0.500 0.500 0.500
```

(6)
Below is crystalline ErHf2Co9 at its relaxed geometry, with properties calculated at the GGA-PBE level.

Results
Theoretical density (g/cm³): 10.8
Total energy (eV per cell): -91.82

```
ErHf2Co9
1.0
-1.866 0.585 -4.455
-2.995 -3.362 -1.843
-7.812 2.893 0.995
Er Hf Co
1 2 9
direct
0.000 0.000 0.000
0.860 0.860 0.420
0.140 0.140 0.580
0.664 0.664 0.007
0.336 0.336 0.993
0.500 0.500 0.500
0.412 0.412 0.254
0.922 0.412 0.254
0.412 0.922 0.254
0.588 0.588 0.746
0.588 0.078 0.746
0.078 0.588 0.746
```

(7)
Below is crystalline MoWI3 at its relaxed geometry, with properties calculated at the GGA-PBE level.

Results
Theoretical density (g/cm³): 6.3
Energy relative to the lowest polymorph listed for this composition (meV/atom): 0
Total energy (eV per cell): -21.35
E_form (uncorrected) (eV/atom): 1.417

```
MoWI3
1.0
5.598 0.000 0.000
0.000 5.598 0.000
0.000 0.000 5.598
I Mo W
3 1 1
direct
0.000 0.500 0.000
0.000 0.000 0.500
0.500 0.000 0.000
0.500 0.500 0.500
0.000 0.000 0.000
```

(8)
Below is crystalline LaTc3 at its relaxed geometry, with properties calculated at the GGA-PBE level.

Results
Theoretical density (g/cm³): 8.8
Total energy (eV per cell): -67.65

```
LaTc3
1.0
4.215 -5.057 7.063
-1.691 -5.491 7.760
-1.287 2.843 -9.137
La Tc
2 6
direct
0.390 0.390 0.000
0.610 0.610 0.000
0.500 0.000 0.500
0.000 0.500 0.500
0.750 0.250 0.500
0.250 0.750 0.500
0.177 0.177 0.000
0.823 0.823 0.000
```

> Which value of total energy does entry 5 give?

-27.82 eV per cell